VASP calculation (GGA-PBE) on crystalline AcNiPPt6 at its relaxed geometry.

Calculated values
- Magnetization: 0.00 μB/f.u.
- Calculated total energy: -0.2224 Ha/atom

Cell lengths 8.027, 8.027, 8.027 Å; angles 124.73, 115.69, 89.81 degrees
Element x y z (fractional)
Ac (0.395, 0.145, 0.250)
Ac (0.605, 0.855, 0.750)
Ni (0.000, 0.000, 0.500)
Ni (0.000, 0.500, 0.000)
P (0.000, 0.500, 0.500)
P (0.500, 0.500, 0.000)
Pt (0.106, 0.388, 0.243)
Pt (0.106, 0.862, 0.718)
Pt (0.132, 0.882, 0.250)
Pt (0.332, 0.582, 0.750)
Pt (0.356, 0.138, 0.743)
Pt (0.356, 0.612, 0.218)
Pt (0.644, 0.388, 0.782)
Pt (0.644, 0.862, 0.257)
Pt (0.668, 0.418, 0.250)
Pt (0.868, 0.118, 0.750)
Pt (0.894, 0.138, 0.282)
Pt (0.894, 0.612, 0.757)

***

VASP calculation (GGA-PBE) on crystalline Ac2Ni12P3Pt at its relaxed geometry.

Calculated values
- Magnetization: 0.00 μB/f.u.
- Calculated total energy: -0.2053 Ha/atom

Cell lengths 7.433, 7.433, 7.433 Å; angles 62.15, 62.15, 62.15 degrees
Element x y z (fractional)
Ac (0.115, 0.115, 0.115)
Ac (0.885, 0.885, 0.885)
Ni (0.118, 0.618, 0.618)
Ni (0.163, 0.163, 0.599)
Ni (0.163, 0.599, 0.163)
Ni (0.382, 0.382, 0.882)
Ni (0.382, 0.882, 0.382)
Ni (0.401, 0.837, 0.837)
Ni (0.599, 0.163, 0.163)
Ni (0.618, 0.118, 0.618)
Ni (0.618, 0.618, 0.118)
Ni (0.837, 0.401, 0.837)
Ni (0.837, 0.837, 0.401)
Ni (0.882, 0.382, 0.382)
P (0.000, 0.500, 0.500)
P (0.500, 0.000, 0.500)
P (0.500, 0.500, 0.000)
Pt (0.500, 0.500, 0.500)

***

VASP calculation (GGA-PBE) on crystalline Ac2NiPPt6 at its relaxed geometry.

Calculated values
- Magnetization: 0.00 μB/f.u.
- Calculated total energy: -0.2356 Ha/atom

Cell lengths 6.502, 6.502, 8.111 Å; angles 125.01, 125.01, 51.05 degrees
Element x y z (fractional)
Ac (0.228, 0.228, 0.186)
Ac (0.772, 0.772, 0.814)
Ni (0.500, 0.500, 0.000)
P (0.000, 0.000, 0.500)
Pt (0.244, 0.731, 0.721)
Pt (0.251, 0.251, 0.630)
Pt (0.269, 0.756, 0.279)
Pt (0.731, 0.244, 0.721)
Pt (0.749, 0.749, 0.370)
Pt (0.756, 0.269, 0.279)

***

VASP calculation (GGA-PBE) on crystalline AcNiP2Rh at its relaxed geometry.

Calculated values
- Magnetization: 0.00 μB/f.u.
- Calculated total energy: -0.2405 Ha/atom

Cell lengths 3.982, 3.982, 11.511 Å; angles 90.00, 90.00, 90.00 degrees
Element x y z (fractional)
Ac (0.000, 0.000, 0.000)
Ac (0.500, 0.500, 0.500)
Ni (0.000, 0.500, 0.750)
Ni (0.500, 0.000, 0.250)
P (0.000, 0.000, 0.356)
P (0.000, 0.000, 0.644)
P (0.500, 0.500, 0.144)
P (0.500, 0.500, 0.856)
Rh (0.000, 0.500, 0.250)
Rh (0.500, 0.000, 0.750)

***

VASP calculation (GGA-PBE) on crystalline Ac2NiPRh6 at its relaxed geometry.

Calculated values
- Magnetization: 0.00 μB/f.u.
- Calculated total energy: -0.2512 Ha/atom

Cell lengths 6.147, 6.162, 6.907 Å; angles 63.66, 63.68, 60.09 degrees
Element x y z (fractional)
Ac (0.226, 0.226, 0.323)
Ac (0.774, 0.774, 0.677)
Ni (0.500, 0.500, 0.500)
P (0.000, 0.000, 0.000)
Rh (0.245, 0.246, 0.824)
Rh (0.245, 0.684, 0.825)
Rh (0.316, 0.755, 0.175)
Rh (0.684, 0.245, 0.825)
Rh (0.755, 0.316, 0.175)
Rh (0.755, 0.754, 0.176)

***

VASP calculation (GGA-PBE) on crystalline Ac2NiP3Rh4 at its relaxed geometry.

Calculated values
- Magnetization: 0.41 μB/f.u.
- Calculated total energy: -0.2517 Ha/atom

Cell lengths 4.259, 4.259, 9.890 Å; angles 90.00, 90.00, 90.00 degrees
Element x y z (fractional)
Ac (0.000, 0.500, 0.241)
Ac (0.500, 0.000, 0.759)
Ni (0.500, 0.500, 0.000)
P (0.000, 0.000, 0.000)
P (0.000, 0.500, 0.632)
P (0.500, 0.000, 0.368)
Rh (0.000, 0.000, 0.500)
Rh (0.000, 0.500, 0.876)
Rh (0.500, 0.000, 0.124)
Rh (0.500, 0.500, 0.500)

***

VASP calculation (GGA-PBE) on crystalline Ac2Ni3P4Rh at its relaxed geometry.

Calculated values
- Magnetization: 0.00 μB/f.u.
- Calculated total energy: -0.2343 Ha/atom

Cell lengths 4.204, 4.204, 9.590 Å; angles 90.00, 90.00, 90.00 degrees
Element x y z (fractional)
Ac (0.000, 0.500, 0.243)
Ac (0.500, 0.000, 0.757)
Ni (0.000, 0.500, 0.894)
Ni (0.500, 0.000, 0.106)
Ni (0.500, 0.500, 0.500)
P (0.000, 0.000, 0.000)
P (0.000, 0.500, 0.630)
P (0.500, 0.000, 0.370)
P (0.500, 0.500, 0.000)
Rh (0.000, 0.000, 0.500)

***

VASP calculation (GGA-PBE) on crystalline Ac2NiP4Rh3 at its relaxed geometry.

Calculated values
- Magnetization: 0.00 μB/f.u.
- Calculated total energy: -0.2483 Ha/atom

Cell lengths 4.299, 4.299, 9.635 Å; angles 90.00, 90.00, 90.00 degrees
Element x y z (fractional)
Ac (0.000, 0.500, 0.248)
Ac (0.500, 0.000, 0.752)
Ni (0.000, 0.000, 0.500)
P (0.000, 0.000, 0.000)
P (0.000, 0.500, 0.627)
P (0.500, 0.000, 0.373)
P (0.500, 0.500, 0.000)
Rh (0.000, 0.500, 0.891)
Rh (0.500, 0.000, 0.109)
Rh (0.500, 0.500, 0.500)

***

VASP calculation (GGA-PBE) on crystalline AcNi4SbP2 at its relaxed geometry.

Calculated values
- Magnetization: 0.00 μB/f.u.
- Formation energy from raw total energies: -58.4 kJ per mole of atoms

Cell lengths 3.886, 3.886, 9.074 Å; angles 90.00, 90.00, 90.00 degrees
Element x y z (fractional)
Ac (0.000, 0.000, 0.000)
Ni (0.000, 0.500, 0.310)
Ni (0.000, 0.500, 0.690)
Ni (0.500, 0.000, 0.310)
Ni (0.500, 0.000, 0.690)
Sb (0.000, 0.000, 0.500)
P (0.500, 0.500, 0.193)
P (0.500, 0.500, 0.807)

***

VASP calculation (GGA-PBE) on crystalline Ac2Ni4SbP3 at its relaxed geometry.

Calculated values
- Magnetization: 0.00 μB/f.u.
- Formation energy from raw total energies: -74.4 kJ per mole of atoms

Cell lengths 4.262, 4.262, 9.746 Å; angles 90.00, 90.00, 90.00 degrees
Element x y z (fractional)
Ac (0.000, 0.500, 0.234)
Ac (0.500, 0.000, 0.766)
Ni (0.000, 0.000, 0.000)
Ni (0.000, 0.500, 0.635)
Ni (0.500, 0.000, 0.365)
Ni (0.500, 0.500, 0.000)
Sb (0.000, 0.000, 0.500)
P (0.000, 0.500, 0.879)
P (0.500, 0.000, 0.121)
P (0.500, 0.500, 0.500)

***

VASP calculation (GGA-PBE) on crystalline Ac2Ni4Sb3P at its relaxed geometry.

Calculated values
- Magnetization: 0.00 μB/f.u.
- Formation energy from raw total energies: -66.3 kJ per mole of atoms

Cell lengths 4.510, 4.510, 9.998 Å; angles 90.00, 90.00, 90.00 degrees
Element x y z (fractional)
Ac (0.000, 0.500, 0.248)
Ac (0.500, 0.000, 0.752)
Ni (0.000, 0.000, 0.500)
Ni (0.000, 0.500, 0.893)
Ni (0.500, 0.000, 0.107)
Ni (0.500, 0.500, 0.500)
Sb (0.000, 0.000, 0.000)
Sb (0.000, 0.500, 0.628)
Sb (0.500, 0.000, 0.372)
P (0.500, 0.500, 0.000)

***

VASP calculation (GGA-PBE) on crystalline AcScNi2P2 at its relaxed geometry.

Calculated values
- Magnetization: 0.00 μB/f.u.
- Calculated total energy: -0.2412 Ha/atom

Cell lengths 3.966, 3.966, 7.740 Å; angles 90.00, 90.00, 120.00 degrees
Element x y z (fractional)
Ac (0.000, 0.000, 0.000)
Sc (0.000, 0.000, 0.500)
Ni (0.333, 0.667, 0.709)
Ni (0.667, 0.333, 0.291)
P (0.333, 0.667, 0.286)
P (0.667, 0.333, 0.714)